A plane-wave DFT calculation with PBE was carried out for a geometry-optimized PrSbAsO structure.

Computed properties:
formation energy without anion corrections = -31.167 kcal/mol of atoms

Geometry as POSCAR:
```
PrSbAsO
1.0
-3.437 -0.349 -2.366
1.906 -2.903 -2.340
-3.668 -7.607 6.449
Sb O As Pr
2 2 2 2
Cartesian
-1.834 -3.804 3.225 Sb
-2.600 -5.429 0.871 Sb
0.000 0.000 0.000 O
-0.766 -1.626 -2.353 O
-0.066 -3.565 0.622 As
-4.367 -5.668 3.474 As
-2.319 -8.238 4.583 Pr
-2.114 -0.995 -0.487 Pr
```

---

A plane-wave DFT calculation with PBE was carried out for a geometry-optimized TbH4Br4 structure.

Computed properties:
calculated total energy = -0.2173 Ry per atom

Geometry as POSCAR:
```
TbH4Br4
1.0
-1.188 -0.758 -3.602
-5.433 -4.804 0.725
-5.210 4.904 -1.390
Tb H Br
1 4 4
Cartesian
-3.310 -2.781 -1.439 Tb
-5.469 -2.081 -0.875 H
-2.768 -0.598 -2.077 H
-9.062 -0.061 -2.191 H
-6.362 1.422 -3.393 H
-2.158 -0.147 -0.296 Br
-6.133 -2.438 -2.657 Br
-5.698 1.779 -1.611 Br
-9.673 -0.511 -3.972 Br
```

---

A plane-wave DFT calculation with PBE was carried out for a geometry-optimized Zr4CuS8 structure.

Computed properties:
formation energy without anion corrections = -32.526 kcal/mol of atoms

Geometry as POSCAR:
```
Zr4CuS8
1.0
-2.861 5.594 -3.908
0.794 0.162 -7.355
-5.851 -1.158 -4.380
S Zr Cu
8 4 1
Cartesian
-4.409 4.572 -7.820 S
-7.350 3.952 -9.978 S
-3.967 4.624 -11.493 S
-5.489 1.186 -11.733 S
-5.938 1.119 -8.061 S
-6.946 4.034 -13.723 S
-2.947 1.711 -5.822 S
-2.540 1.794 -9.582 S
-3.879 0.017 -4.141 Zr
-0.618 0.665 -5.601 Zr
-1.008 0.585 -1.992 Zr
-2.412 3.331 -3.909 Zr
-5.938 3.449 -11.732 Cu
```

---

A plane-wave DFT calculation with PBE was carried out for a geometry-optimized TaCu3P structure.

Computed properties:
calculated formation energy = 0.667 eV/atom

Geometry as POSCAR:
```
TaCu3P
1.0
4.242 0.000 0.000
0.000 4.242 0.000
0.000 0.000 4.242
Cu Ta P
3 1 1
Cartesian
0.000 0.000 2.121 Cu
0.000 2.121 0.000 Cu
2.121 0.000 0.000 Cu
2.121 2.121 2.121 Ta
0.000 0.000 0.000 P
```

---

A plane-wave DFT calculation with PBE was carried out for a geometry-optimized ScSi2Au structure.

Computed properties:
formation energy without anion corrections = -4.672 kcal/mol of atoms

Geometry as POSCAR:
```
ScSi2Au
1.0
-5.153 -0.952 -4.109
-6.137 -2.460 -0.793
-6.402 1.267 -1.323
Si Sc Au
2 1 1
Cartesian
-17.428 -2.114 -6.133 Si
-4.720 -0.572 -1.661 Si
-13.155 -1.595 -4.629 Sc
-8.924 -1.082 -3.140 Au
```

---

A plane-wave DFT calculation with PBE was carried out for a geometry-optimized Be5Fe4 structure.

Computed properties:
calculated formation energy = -0.081 eV/atom

Geometry as POSCAR:
```
Be5Fe4
1.0
6.498 0.000 0.000
-3.249 5.627 0.000
0.000 0.000 4.432
Fe Be
8 10
Cartesian
1.140 1.975 3.324 Fe
4.217 0.000 3.324 Fe
-1.140 1.975 1.108 Fe
2.281 0.000 1.108 Fe
-2.109 3.652 3.324 Fe
0.000 0.000 2.216 Fe
2.109 3.652 1.108 Fe
0.000 0.000 0.000 Fe
2.212 3.831 3.324 Be
2.074 0.000 3.324 Be
-1.037 1.796 3.324 Be
3.249 1.876 0.000 Be
3.249 1.876 2.216 Be
4.424 0.000 1.108 Be
0.000 3.752 0.000 Be
0.000 3.752 2.216 Be
-2.212 3.831 1.108 Be
1.037 1.796 1.108 Be
```

---

A plane-wave DFT calculation with PBE was carried out for a geometry-optimized LaPr9Er2 structure.

Computed properties:
calculated formation energy = 0.016 eV/atom

Geometry as POSCAR:
```
LaPr9Er2
1.0
5.204 0.000 0.000
0.000 5.204 0.000
0.000 0.000 15.656
Er Pr La
2 9 1
Cartesian
0.000 0.000 10.409 Er
0.000 0.000 5.247 Er
0.000 2.602 7.828 Pr
2.602 0.000 2.670 Pr
2.602 0.000 7.828 Pr
2.602 0.000 12.985 Pr
2.602 2.602 5.269 Pr
2.602 2.602 10.386 Pr
0.000 2.602 2.670 Pr
0.000 2.602 12.985 Pr
2.602 2.602 0.000 Pr
0.000 0.000 0.000 La
```

---

A plane-wave DFT calculation with PBE was carried out for a geometry-optimized Tb2ErNpN4 structure.

Computed properties:
formation energy without anion corrections = -35.890 kcal/mol of atoms

Geometry as POSCAR:
```
Tb2ErNpN4
1.0
-0.138 -2.402 -2.490
-0.802 -4.236 4.131
-5.338 2.081 -1.713
N Tb Np Er
4 2 1 1
Cartesian
-4.271 0.495 -0.241 N
-1.869 -2.649 2.660 N
-1.532 -1.801 -0.585 N
-4.746 -2.755 0.513 N
-2.738 -0.161 -2.101 Tb
-3.070 -1.077 1.209 Tb
-0.470 -3.319 0.821 Np
0.000 0.000 0.000 Er
```

---

A plane-wave DFT calculation with PBE was carried out for a geometry-optimized Li3HPd4 structure.

Computed properties:
calculated total energy = -0.2907 Ry per atom

Geometry as POSCAR:
```
Li3HPd4
1.0
-0.229 2.590 -1.185
-4.456 -0.526 -0.287
-0.840 3.205 7.167
H Pd Li
1 4 3
Cartesian
-2.343 1.032 -0.736 H
0.000 0.000 0.000 Pd
-0.420 1.602 3.583 Pd
-2.909 2.333 5.661 Pd
-2.388 0.346 1.218 Pd
-0.745 3.698 4.781 Li
-0.325 2.097 1.201 Li
-2.763 2.634 2.847 Li
```

---

A plane-wave DFT calculation with PBE was carried out for a geometry-optimized AcNd2Ag2 structure.

Computed properties:
calculated formation energy = -0.133 eV/atom

Geometry as POSCAR:
```
AcNd2Ag2
1.0
5.103 0.000 0.000
0.000 5.406 0.064
0.000 -1.190 11.605
Nd Ac Ag
4 2 4
Cartesian
1.276 0.743 5.893 Nd
1.276 3.479 10.349 Nd
3.827 3.473 5.775 Nd
3.827 0.737 1.320 Nd
1.276 3.500 2.886 Ac
3.827 0.716 8.783 Ac
3.827 0.788 4.256 Ag
1.276 3.428 7.412 Ag
3.827 3.468 0.079 Ag
1.276 0.748 11.590 Ag
```

---

A plane-wave DFT calculation with PBE was carried out for a geometry-optimized Tb4TcTe structure.

Computed properties:
formation energy without anion corrections = -5.273 kcal/mol of atoms

Geometry as POSCAR:
```
Tb4TcTe
1.0
5.395 0.000 0.000
-2.697 10.416 -1.462
0.000 -4.797 8.282
Tc Tb Te
2 8 2
Cartesian
0.000 -1.104 4.930 Tc
2.697 6.723 1.890 Tc
2.697 6.243 -0.804 Tb
0.000 -1.009 2.315 Tb
0.000 6.730 1.610 Tb
2.697 6.629 4.505 Tb
2.697 -1.111 5.210 Tb
2.697 3.865 1.973 Tb
0.000 1.754 4.846 Tb
0.000 -0.624 7.623 Tb
2.697 3.493 5.108 Te
0.000 2.127 1.711 Te
```

---

A plane-wave DFT calculation with PBE was carried out for a geometry-optimized RbTl4B2 structure.

Computed properties:
calculated formation energy = 0.900 eV/atom

Geometry as POSCAR:
```
RbTl4B2
1.0
-3.762 -2.824 4.338
-0.598 -5.089 -3.832
3.149 -6.712 3.081
Rb Tl B
1 4 2
Cartesian
0.000 0.000 0.000 Rb
-0.299 -2.545 -1.916 Tl
-1.881 -1.412 2.169 Tl
0.300 -5.239 1.569 Tl
-1.511 -9.386 2.018 Tl
0.347 -10.347 3.004 B
-1.557 -4.279 0.584 B
```

---

no.,DOS at the Fermi energy (states/eV per atom),total moment (μB per atom)
1,0.719,0.0000
2,0.319,0.0000
3,0.265,0.0000
4,0.633,0.0000
5,0.237,0.0000
6,0.576,0.4983
7,1.790,0.0000
8,0.744,0.3723
9,0.249,0.0000
10,1.069,0.0000
11,0.810,0.0000
12,0.569,0.0000